1.
Material: YCoPt3
Method: DFT, PBE
State: relaxed

theoretical density	12.3	Mg/m³
SG	Pm-3m (221)
energy of formation from the pure elements	-0.076	eV/atom
Fermi-level density of states	4.0	states/eV/f.u.

Cell lengths 4.6289, 4.6289, 4.6289 Å; angles 90.00, 90.00, 90.00 degrees
Fractional coordinates of all 5 atoms:
Y (0.5000, 0.5000, 0.5000)
Co (0.0000, 0.0000, 0.0000)
Pt (0.0000, 0.5000, 0.0000)
Pt (0.0000, 0.0000, 0.5000)
Pt (0.5000, 0.0000, 0.0000)

---

2.
Material: Sr2AgBiO6
Method: DFT, PBE
State: relaxed

theoretical density	6.2	Mg/m³
SG	P2_1/c (14)
E_form (uncorrected)	-1.51	eV/atom

Cell lengths 5.3693, 5.7094, 10.3093 Å; angles 90.00, 91.34, 90.00 degrees
Fractional coordinates of all 20 atoms:
Sr (0.0348, 0.9620, 0.2465)
Sr (0.5349, 0.5380, 0.7465)
Sr (0.9652, 0.0380, 0.7535)
Sr (0.4652, 0.4620, 0.2535)
Ag (0.5000, 0.0000, 0.0000)
Ag (0.0000, 0.5000, 0.5000)
Bi (0.5000, 0.0000, 0.5000)
Bi (0.0000, 0.5000, 0.0000)
O (0.2942, 0.7344, 0.0738)
O (0.7942, 0.7656, 0.5738)
O (0.7058, 0.2656, 0.9262)
O (0.2058, 0.2344, 0.4262)
O (0.2614, 0.7171, 0.4226)
O (0.7614, 0.7829, 0.9226)
O (0.7386, 0.2829, 0.5774)
O (0.2386, 0.2171, 0.0774)
O (0.9018, 0.5225, 0.1939)
O (0.4018, 0.9775, 0.6939)
O (0.0982, 0.4775, 0.8061)
O (0.5982, 0.0225, 0.3061)

---

3.
Material: Hf3NbTe
Method: DFT, PBE
State: relaxed

theoretical density	9.5	Mg/m³
SG	Pm-3m (221)
E above lowest polymorph	0.942	eV per atom
Fermi-level density of states	7.3	states/eV/f.u.
E_form (uncorrected)	0.84	eV/atom

Cell lengths 5.0959, 5.0959, 5.0959 Å; angles 90.00, 90.00, 90.00 degrees
Fractional coordinates of all 5 atoms:
Nb (0.0000, 0.0000, 0.0000)
Te (0.5000, 0.5000, 0.5000)
Hf (0.0000, 0.5000, 0.0000)
Hf (0.0000, 0.0000, 0.5000)
Hf (0.5000, 0.0000, 0.0000)

---

4.
Material: La2SbAs3Pt4
Method: DFT, PBE
State: relaxed

theoretical density	11.1	Mg/m³
SG	P-4m2 (115)
Fermi-level density of states	2.9	states/eV/f.u.
E_form (uncorrected)	-0.91	eV/atom

Cell lengths 4.5513, 4.5513, 10.1475 Å; angles 90.00, 90.00, 90.00 degrees
Fractional coordinates of all 10 atoms:
La (0.5000, 0.0000, 0.2375)
La (0.0000, 0.5000, 0.7625)
Sb (0.5000, 0.5000, 0.5000)
As (0.0000, 0.0000, 0.5000)
As (0.5000, 0.0000, 0.8751)
As (0.0000, 0.5000, 0.1249)
Pt (0.5000, 0.5000, 0.0000)
Pt (0.0000, 0.0000, 0.0000)
Pt (0.5000, 0.0000, 0.6315)
Pt (0.0000, 0.5000, 0.3685)